w) DFT (PBE) results for crystalline Hf2VFe at its relaxed geometry.

Properties
DOS(E_F) ... 5.6 states/eV/cell
Total moment ... 0.273 μB/atom

a = 3.1679 Å, b = 3.1679 Å, c = 6.6291 Å
α = 90.00°, β = 90.00°, γ = 90.00°
Last column: magnetic moment on the atom in μB.
Sites, in units of the cell vectors:
Hf1 0.0000 0.0000 0.7646  0.05
Hf2 0.0000 0.0000 0.2354  0.05
Fe1 0.5000 0.5000 0.0000  0.15
V1 0.5000 0.5000 0.5000  0.69



x) DFT (PBE) results for crystalline Hf2VFe at its relaxed geometry.

Properties
DOS(E_F) ... 3.3 states/eV/cell
Total moment ... 0.681 μB/atom

a = 4.5609 Å, b = 4.5609 Å, c = 4.5609 Å
α = 60.00°, β = 60.00°, γ = 60.00°
Last column: magnetic moment on the atom in μB.
Sites, in units of the cell vectors:
Hf1 0.2500 0.2500 0.2500  0.06
Hf2 0.7500 0.7500 0.7500  0.06
Fe1 0.5000 0.5000 0.5000  0.45
V1 0.0000 0.0000 0.0000  1.89



y) DFT (PBE) results for crystalline Hf2VFe at its relaxed geometry.

Properties
DOS(E_F) ... 9.2 states/eV/cell
Total moment ... 0.389 μB/atom

a = 7.0741 Å, b = 7.0741 Å, c = 5.7547 Å
α = 52.07°, β = 52.07°, γ = 90.00°
Last column: magnetic moment on the atom in μB.
Sites, in units of the cell vectors:
Hf1 0.6616 0.1250 0.2500  -0.04
Hf2 0.0884 0.6250 0.2500  -0.04
Hf3 0.3750 0.3384 0.7500  -0.04
Hf4 0.8750 0.9116 0.7500  -0.04
Fe1 0.0000 0.0000 0.0000  0.19
Fe2 0.7500 0.2500 0.5000  0.19
V1 0.5000 0.5000 0.0000  1.30
V2 0.2500 0.7500 0.5000  1.30



On energetic grounds, w) is preferred over the next structure by 0.009 eV/atom.



w) DFT (PBE) results for crystalline Hf3VFe at its relaxed geometry.

Properties
DOS(E_F) ... 7.6 states/eV/cell
Total moment ... 0.468 μB/atom

a = 4.7943 Å, b = 4.7943 Å, c = 4.7943 Å
α = 90.00°, β = 90.00°, γ = 90.00°
Last column: magnetic moment on the atom in μB.
Sites, in units of the cell vectors:
Hf1 0.0000 0.5000 0.0000  -0.15
Hf2 0.0000 0.0000 0.5000  -0.15
Hf3 0.5000 0.0000 0.0000  -0.15
Fe1 0.5000 0.5000 0.5000  2.99
V1 0.0000 0.0000 0.0000  0.02



x) DFT (PBE) results for crystalline Hf3VFe at its relaxed geometry.

Properties
DOS(E_F) ... 7.2 states/eV/cell
Total moment ... 0.561 μB/atom

a = 4.7516 Å, b = 4.7516 Å, c = 4.7516 Å
α = 90.00°, β = 90.00°, γ = 90.00°
Last column: magnetic moment on the atom in μB.
Sites, in units of the cell vectors:
Hf1 0.0000 0.5000 0.0000  -0.11
Hf2 0.0000 0.0000 0.5000  -0.11
Hf3 0.5000 0.0000 0.0000  -0.11
Fe1 0.0000 0.0000 0.0000  0.19
V1 0.5000 0.5000 0.5000  2.53



On energetic grounds, x) is preferred over the next structure by 0.524 eV/atom.



w) DFT (PBE) results for crystalline Y2HfFe at its relaxed geometry.

Properties
DOS(E_F) ... 7.3 states/eV/cell
Total moment ... 0.234 μB/atom

a = 5.0369 Å, b = 5.0369 Å, c = 5.0369 Å
α = 60.00°, β = 60.00°, γ = 60.00°
Last column: magnetic moment on the atom in μB.
Sites, in units of the cell vectors:
Y1 0.2500 0.2500 0.2500  0.09
Y2 0.7500 0.7500 0.7500  0.09
Hf1 0.5000 0.5000 0.5000  0.38
Fe1 0.0000 0.0000 0.0000  0.19



x) DFT (PBE) results for crystalline Y2HfFe at its relaxed geometry.

Properties
DOS(E_F) ... 12.5 states/eV/cell
Total moment ... 0.001 μB/atom

a = 8.2182 Å, b = 8.2182 Å, c = 6.4735 Å
α = 50.60°, β = 50.60°, γ = 90.00°
Sites, in units of the cell vectors:
Y1 0.5484 0.1250 0.2500
Y2 0.2016 0.6250 0.2500
Y3 0.3750 0.4516 0.7500
Y4 0.8750 0.7984 0.7500
Hf1 0.0000 0.0000 0.0000
Hf2 0.7500 0.2500 0.5000
Fe1 0.5000 0.5000 0.0000
Fe2 0.2500 0.7500 0.5000



On energetic grounds, x) is preferred over the next structure by 0.026 eV/atom.



w) DFT (PBE) results for crystalline YHf2Fe2 at its relaxed geometry.

Properties
DOS(E_F) ... 7.3 states/eV/cell
Total moment ... 0.000 μB/atom

a = 4.2563 Å, b = 4.2563 Å, c = 6.1376 Å
α = 69.71°, β = 69.71°, γ = 90.00°
Sites, in units of the cell vectors:
Y1 0.0000 0.0000 0.0000
Hf1 0.7500 0.2500 0.5000
Hf2 0.2500 0.7500 0.5000
Fe1 0.3965 0.3965 0.2070
Fe2 0.6035 0.6035 0.7930



x) DFT (PBE) results for crystalline YHf2Fe2 at its relaxed geometry.

Properties
DOS(E_F) ... 6.5 states/eV/cell
Total moment ... 0.000 μB/atom

a = 7.5750 Å, b = 7.5750 Å, c = 3.1918 Å
α = 90.00°, β = 90.00°, γ = 90.00°
Sites, in units of the cell vectors:
Y1 0.0000 0.0000 0.0000
Y2 0.5000 0.5000 0.0000
Hf1 0.1454 0.6454 0.5000
Hf2 0.6454 0.8546 0.5000
Hf3 0.8546 0.3546 0.5000
Hf4 0.3546 0.1454 0.5000
Fe1 0.3582 0.8582 0.0000
Fe2 0.8582 0.6418 0.0000
Fe3 0.6418 0.1418 0.0000
Fe4 0.1418 0.3582 0.0000



On energetic grounds, w) is preferred over the next structure by 0.045 eV/atom.



w) DFT (PBE) results for crystalline YHf3Fe at its relaxed geometry.

Properties
DOS(E_F) ... 6.7 states/eV/cell
Total moment ... 0.000 μB/atom

a = 5.0320 Å, b = 5.0320 Å, c = 5.0320 Å
α = 90.00°, β = 90.00°, γ = 90.00°
Sites, in units of the cell vectors:
Y1 0.0000 0.0000 0.0000
Hf1 0.0000 0.5000 0.0000
Hf2 0.0000 0.0000 0.5000
Hf3 0.5000 0.0000 0.0000
Fe1 0.5000 0.5000 0.5000



x) DFT (PBE) results for crystalline YHf3Fe at its relaxed geometry.

Properties
DOS(E_F) ... 6.5 states/eV/cell
Total moment ... 0.000 μB/atom

a = 4.8804 Å, b = 4.8804 Å, c = 4.8804 Å
α = 90.00°, β = 90.00°, γ = 90.00°
Sites, in units of the cell vectors:
Y1 0.5000 0.5000 0.5000
Hf1 0.0000 0.5000 0.0000
Hf2 0.0000 0.0000 0.5000
Hf3 0.5000 0.0000 0.0000
Fe1 0.0000 0.0000 0.0000



On energetic grounds, x) is preferred over the next structure by 2.033 eV/atom.



w) DFT (PBE) results for crystalline HfZn2Fe2 at its relaxed geometry.

Properties
DOS(E_F) ... 2.7 states/eV/cell
Total moment ... 0.783 μB/atom

a = 3.6183 Å, b = 3.6183 Å, c = 6.2419 Å
α = 73.15°, β = 73.15°, γ = 90.00°
Last column: magnetic moment on the atom in μB.
Sites, in units of the cell vectors:
Zn1 0.3951 0.3951 0.2098  -0.07
Zn2 0.6049 0.6049 0.7902  -0.07
Hf1 0.0000 0.0000 0.0000  -0.28
Fe1 0.7500 0.2500 0.5000  2.26
Fe2 0.2500 0.7500 0.5000  2.26



x) DFT (PBE) results for crystalline HfZn2Fe2 at its relaxed geometry.

Properties
DOS(E_F) ... 10.6 states/eV/cell
Total moment ... 0.711 μB/atom

a = 7.1860 Å, b = 7.1860 Å, c = 2.8031 Å
α = 90.00°, β = 90.00°, γ = 90.00°
Last column: magnetic moment on the atom in μB.
Sites, in units of the cell vectors:
Zn1 0.3796 0.8796 0.0000  -0.07
Zn2 0.8796 0.6204 0.0000  -0.07
Zn3 0.6204 0.1204 0.0000  -0.07
Zn4 0.1204 0.3796 0.0000  -0.07
Hf1 0.0000 0.0000 0.0000  -0.37
Hf2 0.5000 0.5000 0.0000  -0.37
Fe1 0.1785 0.6785 0.5000  2.13
Fe2 0.6785 0.8215 0.5000  2.13
Fe3 0.8215 0.3215 0.5000  2.13
Fe4 0.3215 0.1785 0.5000  2.13



On energetic grounds, w) is preferred over the next structure by 0.018 eV/atom.



w) DFT (PBE) results for crystalline HfZn2Fe at its relaxed geometry.

Properties
DOS(E_F) ... 4.5 states/eV/cell
Total moment ... 0.514 μB/atom

a = 4.4195 Å, b = 4.4195 Å, c = 4.4195 Å
α = 60.00°, β = 60.00°, γ = 60.00°
Last column: magnetic moment on the atom in μB.
Sites, in units of the cell vectors:
Zn1 0.2500 0.2500 0.2500  -0.03
Zn2 0.7500 0.7500 0.7500  -0.03
Hf1 0.5000 0.5000 0.5000  -0.18
Fe1 0.0000 0.0000 0.0000  2.31



x) DFT (PBE) results for crystalline HfZn2Fe at its relaxed geometry.

Properties
DOS(E_F) ... 6.8 states/eV/cell
Total moment ... 0.000 μB/atom

a = 3.6541 Å, b = 3.6541 Å, c = 9.9789 Å
α = 79.45°, β = 79.45°, γ = 90.00°
Sites, in units of the cell vectors:
Zn1 0.5975 0.1250 0.2500
Zn2 0.1525 0.6250 0.2500
Zn3 0.3750 0.4025 0.7500
Zn4 0.8750 0.8475 0.7500
Hf1 0.0000 0.0000 0.0000
Hf2 0.7500 0.2500 0.5000
Fe1 0.5000 0.5000 0.0000
Fe2 0.2500 0.7500 0.5000



On energetic grounds, w) is preferred over the next structure by 0.258 eV/atom.



w) DFT (PBE) results for crystalline HfZnFe3 at its relaxed geometry.

Properties
DOS(E_F) ... 5.4 states/eV/cell
Total moment ... 1.108 μB/atom

a = 4.5691 Å, b = 4.5691 Å, c = 4.5691 Å
α = 90.00°, β = 90.00°, γ = 90.00°
Last column: magnetic moment on the atom in μB.
Sites, in units of the cell vectors:
Zn1 0.5000 0.5000 0.5000  -0.04
Hf1 0.0000 0.0000 0.0000  -0.52
Fe1 0.0000 0.5000 0.0000  2.08
Fe2 0.0000 0.0000 0.5000  2.11
Fe3 0.5000 0.0000 0.0000  2.08



x) DFT (PBE) results for crystalline HfZnFe3 at its relaxed geometry.

Properties
DOS(E_F) ... 6.0 states/eV/cell
Total moment ... 1.280 μB/atom

a = 4.3759 Å, b = 4.3759 Å, c = 4.3759 Å
α = 90.00°, β = 90.00°, γ = 90.00°
Last column: magnetic moment on the atom in μB.
Sites, in units of the cell vectors:
Zn1 0.0000 0.0000 0.0000  -0.08
Hf1 0.5000 0.5000 0.5000  -0.67
Fe1 0.0000 0.5000 0.0000  2.69
Fe2 0.0000 0.0000 0.5000  2.58
Fe3 0.5000 0.0000 0.0000  2.36



On energetic grounds, x) is preferred over the next structure by 0.619 eV/atom.



w) DFT (PBE) results for crystalline Hf3ZrFe at its relaxed geometry.

Properties
DOS(E_F) ... 12.3 states/eV/cell
Total moment ... 0.000 μB/atom

a = 5.4724 Å, b = 6.6545 Å, c = 6.6544 Å
α = 120.00°, β = 90.00°, γ = 90.00°
Sites, in units of the cell vectors:
Hf1 0.7500 0.6409 0.8204
Hf2 0.2500 0.8204 0.6409
Hf3 0.2500 0.3591 0.1795
Hf4 0.7500 0.1796 0.3591
Hf5 0.2500 0.8204 0.1795
Hf6 0.7500 0.1796 0.8205
Zr1 0.7499 0.6668 0.3334
Zr2 0.2501 0.3332 0.6666
Fe1 0.0000 0.0000 0.0000
Fe2 0.5000 0.0000 0.0000



x) DFT (PBE) results for crystalline Hf3ZrFe at its relaxed geometry.

Properties
DOS(E_F) ... 12.0 states/eV/cell
Total moment ... 0.124 μB/atom

a = 6.0651 Å, b = 6.0651 Å, c = 7.4913 Å
α = 66.12°, β = 66.12°, γ = 60.00°
Last column: magnetic moment on the atom in μB.
Sites, in units of the cell vectors:
Hf1 0.2332 0.2337 0.7950  -0.04
Hf2 0.7380 0.2332 0.7950  -0.04
Hf3 0.7663 0.2620 0.2050  -0.04
Hf4 0.2620 0.7668 0.2050  -0.04
Hf5 0.7668 0.7663 0.2050  -0.04
Hf6 0.2337 0.7380 0.7950  -0.04
Zr1 0.1933 0.1933 0.4202  -0.02
Zr2 0.8067 0.8067 0.5798  -0.02
Fe1 0.3091 0.3091 0.0728  0.80
Fe2 0.6909 0.6909 0.9272  0.80



y) DFT (PBE) results for crystalline Hf3ZrFe at its relaxed geometry.

Properties
DOS(E_F) ... 6.8 states/eV/cell
Total moment ... 0.000 μB/atom

a = 4.7937 Å, b = 4.7937 Å, c = 4.7937 Å
α = 90.00°, β = 90.00°, γ = 90.00°
Sites, in units of the cell vectors:
Hf1 0.0000 0.5000 0.0000
Hf2 0.0000 0.0000 0.5000
Hf3 0.5000 0.0000 0.0000
Fe1 0.0000 0.0000 0.0000
Zr1 0.5000 0.5000 0.5000



z) DFT (PBE) results for crystalline Hf3ZrFe at its relaxed geometry.

Properties
DOS(E_F) ... 9.5 states/eV/cell
Total moment ... 0.000 μB/atom

a = 4.9943 Å, b = 4.9943 Å, c = 4.9943 Å
α = 90.00°, β = 90.00°, γ = 90.00°
Sites, in units of the cell vectors:
Hf1 0.0000 0.5000 0.0000
Hf2 0.0000 0.0000 0.5000
Hf3 0.5000 0.0000 0.0000
Fe1 0.5000 0.5000 0.5000
Zr1 0.0000 0.0000 0.0000



On energetic grounds, w) is preferred over the next structure by 0.100 eV/atom.



w) DFT (PBE) results for crystalline Hf6Zr2Fe at its relaxed geometry.

Properties
DOS(E_F) ... 11.9 states/eV/cell
Total moment ... 0.143 μB/atom

a = 3.0832 Å, b = 8.3053 Å, c = 8.7527 Å
α = 118.32°, β = 90.00°, γ = 90.00°
Last column: magnetic moment on the atom in μB.
Sites, in units of the cell vectors:
Hf1 0.0000 0.3373 0.3269  -0.06
Hf2 0.0000 0.0104 0.6731  -0.06
Hf3 0.0000 0.6627 0.6731  -0.06
Hf4 0.5000 0.2811 0.0000  -0.10
Hf5 0.0000 0.9896 0.3269  -0.06
Hf6 0.5000 0.7189 0.0000  -0.10
Zr1 0.5000 0.6720 0.3440  0.00
Zr2 0.5000 0.3280 0.6560  0.00
Fe1 0.0000 0.0000 0.0000  1.83



x) DFT (PBE) results for crystalline Hf6Zr2Fe at its relaxed geometry.

Properties
DOS(E_F) ... 11.3 states/eV/cell
Total moment ... 0.026 μB/atom

a = 3.2554 Å, b = 8.2559 Å, c = 8.2546 Å
α = 120.01°, β = 90.00°, γ = 90.00°
Last column: magnetic moment on the atom in μB.
Sites, in units of the cell vectors:
Hf1 0.5000 0.6197 0.0000  0.00
Hf2 0.5000 0.3803 0.3804  0.00
Hf3 0.5000 0.9999 0.6196  0.00
Hf4 0.0000 0.2442 0.0000  -0.03
Hf5 0.0000 0.7559 0.7559  -0.03
Hf6 0.0000 0.0000 0.2441  -0.03
Zr1 0.0000 0.3333 0.6667  0.00
Zr2 0.0000 0.6666 0.3333  0.00
Fe1 0.5000 0.0001 0.0000  0.33



On energetic grounds, x) is preferred over the next structure by 0.229 eV/atom.



w) DFT (PBE) results for crystalline Fe4Hg at its relaxed geometry.

Properties
DOS(E_F) ... 3.7 states/eV/cell
Total moment ... 2.003 μB/atom

a = 6.8420 Å, b = 6.8420 Å, c = 2.6858 Å
α = 89.18°, β = 89.18°, γ = 33.15°
Last column: magnetic moment on the atom in μB.
Sites, in units of the cell vectors:
Fe1 0.1193 0.1193 0.9572  2.57
Fe2 0.7073 0.7073 0.3203  2.51
Fe3 0.2927 0.2927 0.6797  2.51
Fe4 0.8807 0.8807 0.0428  2.57
Hg1 0.5000 0.5000 0.5000  -0.06



x) DFT (PBE) results for crystalline Fe4Hg at its relaxed geometry.

Properties
DOS(E_F) ... 5.0 states/eV/cell
Total moment ... 1.968 μB/atom

a = 4.9985 Å, b = 4.9985 Å, c = 4.9985 Å
α = 50.07°, β = 50.07°, γ = 50.07°
Last column: magnetic moment on the atom in μB.
Sites, in units of the cell vectors:
Fe1 0.2950 0.2950 0.2950  2.56
Fe2 0.0889 0.0889 0.0889  2.46
Fe3 0.9111 0.9111 0.9111  2.46
Fe4 0.7050 0.7050 0.7050  2.56
Hg1 0.5000 0.5000 0.5000  -0.07



y) DFT (PBE) results for crystalline Fe4Hg at its relaxed geometry.

Properties
DOS(E_F) ... 8.3 states/eV/cell
Total moment ... 2.432 μB/atom

a = 4.7713 Å, b = 4.7713 Å, c = 4.7713 Å
α = 90.00°, β = 90.00°, γ = 90.00°
Last column: magnetic moment on the atom in μB.
Sites, in units of the cell vectors:
Hg1 0.5000 0.5000 0.5000  -0.05
Fe1 0.0000 0.0000 0.0000  3.24
Fe2 0.5000 0.0000 0.5000  3.03
Fe3 0.0000 0.5000 0.5000  3.03
Fe4 0.5000 0.5000 0.0000  3.03



On energetic grounds, w) is preferred over the next structure by 0.027 eV/atom.